Arrangement w

A relaxed LiTcTe2 crystal. Source: the Alexandria database, functional PBE.

```
LiTcTe2
1.0
-2.972 4.184 3.541
-5.477 -2.105 -2.110
-4.441 -2.999 5.306
Te Tc Li
4 2 2
Direct
0.658 0.125 0.250 Te
0.092 0.625 0.250 Te
0.375 0.342 0.750 Te
0.875 0.908 0.750 Te
0.000 0.000 0.000 Tc
0.750 0.250 0.500 Tc
0.500 0.500 0.000 Li
0.250 0.750 0.500 Li
```

Space-group type: I-42d, No. 122
Spin magnetization: 0.000 μB per cell

=====

Arrangement x

A relaxed LiTcTe2 crystal. Source: the Alexandria database, functional PBE.

```
LiTcTe2
1.0
-3.334 6.540 -2.546
-3.195 3.382 -6.223
1.090 -5.772 5.086
Li Tc Te
1 1 2
Direct
0.450 0.450 0.000 Li
0.201 0.701 0.500 Tc
0.059 0.059 0.000 Te
0.790 0.290 0.500 Te
```

Space-group type: Imm2, No. 44
Spin magnetization: 0.000 μB per cell

=====

Going by the energies, arrangement x is most stable and the next is 114 meV per atom up.

=====

Arrangement w

A relaxed LiTcTe2 crystal. Source: the Alexandria database, functional PBE.

```
LiTcTe2
1.0
-3.276 0.972 -0.078
-0.809 -2.861 -1.685
-1.176 -3.448 6.420
Li Tc Te
1 1 2
Direct
0.000 0.000 0.527 Li
0.500 0.500 0.724 Tc
0.000 0.000 0.897 Te
0.500 0.500 0.351 Te
```

Space-group type: P4mm, No. 99
Spin magnetization: 0.000 μB per cell

=====

Arrangement x

A relaxed LiTcTe2 crystal. Source: the Alexandria database, functional PBE.

```
LiTcTe2
1.0
0.000 3.371 3.371
3.371 0.000 3.371
3.371 3.371 0.000
Te Tc Li
2 1 1
Direct
0.250 0.250 0.250 Te
0.750 0.750 0.750 Te
0.500 0.500 0.500 Tc
0.000 0.000 0.000 Li
```

Space-group type: Fm-3m, No. 225
Spin magnetization: 0.000 μB per cell

=====

Going by the energies, arrangement w is most stable and the next is 53 meV per atom up.

=====

Arrangement w

A relaxed LiTcTe2 crystal. Source: the Alexandria database, functional PBE.

```
LiTcTe2
1.0
-3.411 -2.933 -1.418
2.995 -1.708 -3.672
1.175 -2.361 2.057
Li Tc Te
1 1 2
Direct
0.500 0.000 0.500 Li
0.000 0.500 0.500 Tc
0.000 0.000 0.000 Te
0.500 0.500 0.000 Te
```

Space-group type: Pmmm, No. 47
Spin magnetization: 1.203 μB per cell

=====

Arrangement x

A relaxed LiTcTe2 crystal. Source: the Alexandria database, functional PBE.

```
LiTcTe2
1.0
-5.235 -1.388 -2.586
-0.959 -5.105 -3.006
2.243 1.993 5.198
Li Tc Te
1 1 2
Direct
0.500 0.500 0.000 Li
0.750 0.250 0.500 Tc
0.000 0.000 0.000 Te
0.250 0.750 0.500 Te
```

Space-group type: I-4m2, No. 119
Spin magnetization: 2.450 μB per cell

=====

Going by the energies, arrangement w is most stable and the next is 133 meV per atom up.